No. 1
Below is a relaxed Rb4Er3NpS8 crystal, with properties calculated at the PBE level.

It has space group R-3m (No. 166, hexagonal axes), with a = 8.1514 Å, b = 8.1514 Å, c = 23.0292 Å, α = 90.00°, β = 90.00° and γ = 120.00°. The inequivalent atoms are Rb at (0.0000, 0.0000, 0.0000), Rb at (0.0000, 0.5000, 0.0000), Er at (0.0000, 0.5000, 0.5000), Np at (0.0000, 0.0000, 0.5000), S at (0.0000, 0.0000, 0.2301) and S at (0.0052, 0.5026, 0.7697).

No. 2
Below is a relaxed Rb3Er3NpSe8 crystal, with properties calculated at the PBE level.

It has space group R-3m (No. 166, hexagonal axes), with a = 8.3435 Å, b = 8.3435 Å, c = 24.4059 Å, α = 90.00°, β = 90.00° and γ = 120.00°. The inequivalent atoms are Rb at (0.0000, 0.5000, 0.0000), Er at (0.0000, 0.5000, 0.5000), Np at (0.0000, 0.0000, 0.5000), Se at (0.0000, 0.0000, 0.2309) and Se at (0.0011, 0.5005, 0.2302).

No. 3
Below is a relaxed Rb2Er2NpSe6 crystal, with properties calculated at the PBE level.

It has space group C2/m (No. 12), with a = 7.1942 Å, b = 12.4631 Å, c = 8.5503 Å, α = 90.00°, β = 106.52° and γ = 90.00°. The inequivalent atoms are Rb at (0.0000, 0.1680, 0.0000), Er at (0.0000, 0.3332, 0.5000), Np at (0.0000, 0.0000, 0.5000), Se at (0.2299, 0.1656, 0.6905) and Se at (0.2332, 0.5000, 0.6899).

No. 4
Below is a relaxed Rb3ErNp2Se6 crystal, with properties calculated at the PBE level.

It has space group C2/m (No. 12), with a = 7.4059 Å, b = 12.8282 Å, c = 8.3661 Å, α = 90.00°, β = 107.16° and γ = 90.00°. The inequivalent atoms are Rb at (0.0000, 0.0000, 0.0000), Rb at (0.0000, 0.3331, 0.0000), Er at (0.0000, 0.5000, 0.5000), Np at (0.0000, 0.1667, 0.5000), Se at (0.2295, 0.3356, 0.6955) and Se at (0.2364, 0.0000, 0.6954).

No. 5
Below is a relaxed Rb2ErNpSe4 crystal, with properties calculated at the PBE level.

It has space group P2/m (No. 10), with a = 7.4049 Å, b = 4.2594 Å, c = 8.3535 Å, α = 90.00°, β = 107.16° and γ = 90.00°. The inequivalent atoms are Rb at (0.0000, 0.0000, 0.0000), Rb at (0.5000, 0.5000, 0.0000), Er at (0.0000, 0.5000, 0.5000), Np at (0.5000, 0.0000, 0.5000), Se at (0.2256, 0.0000, 0.6949) and Se at (0.2633, 0.5000, 0.3050).

No. 6
Below is a relaxed Rb2ErNp2Se6 crystal, with properties calculated at the PBE level.

It has space group C2/m (No. 12), with a = 7.2439 Å, b = 12.5458 Å, c = 8.5202 Å, α = 90.00°, β = 106.33° and γ = 90.00°. The inequivalent atoms are Rb at (0.0000, 0.1662, 0.0000), Er at (0.0000, 0.0000, 0.5000), Np at (0.0000, 0.3337, 0.5000), Se at (0.2293, 0.1669, 0.6899) and Se at (0.2304, 0.5000, 0.6901).

No. 7
Below is a relaxed Rb4Er3NpSe8 crystal, with properties calculated at the PBE level.

It has space group R-3m (No. 166, hexagonal axes), with a = 8.4892 Å, b = 8.4892 Å, c = 23.9425 Å, α = 90.00°, β = 90.00° and γ = 120.00°. The inequivalent atoms are Rb at (0.0000, 0.0000, 0.0000), Rb at (0.0000, 0.5000, 0.0000), Er at (0.0000, 0.5000, 0.5000), Np at (0.0000, 0.0000, 0.5000), Se at (0.0000, 0.0000, 0.2313) and Se at (0.0059, 0.5030, 0.7685).

No. 8
Below is a relaxed Rb2ErNp2Te6 crystal, with properties calculated at the PBE level.

It has space group C2/m (No. 12), with a = 7.7346 Å, b = 13.3859 Å, c = 9.1286 Å, α = 90.00°, β = 106.41° and γ = 90.00°. The inequivalent atoms are Rb at (0.0000, 0.1666, 0.0000), Er at (0.0000, 0.0000, 0.5000), Np at (0.0000, 0.3330, 0.5000), Te at (0.2321, 0.1652, 0.6965) and Te at (0.2329, 0.5000, 0.6959).

No. 9
Below is a relaxed Rb2Er2NpTe6 crystal, with properties calculated at the PBE level.

It has space group C2/m (No. 12), with a = 7.6557 Å, b = 13.2629 Å, c = 9.1645 Å, α = 90.00°, β = 106.33° and γ = 90.00°. The inequivalent atoms are Rb at (0.0000, 0.1672, 0.0000), Er at (0.0000, 0.3324, 0.5000), Np at (0.0000, 0.0000, 0.5000), Te at (0.2318, 0.5000, 0.6952) and Te at (0.2333, 0.1653, 0.6964).

No. 10
Below is a relaxed Rb3Er2NpTe6 crystal, with properties calculated at the PBE level.

It has space group C2/m (No. 12), with a = 7.8796 Å, b = 13.5943 Å, c = 8.9351 Å, α = 90.00°, β = 106.94° and γ = 90.00°. The inequivalent atoms are Rb at (0.0000, 0.0000, 0.0000), Rb at (0.0000, 0.3346, 0.0000), Er at (0.0000, 0.1664, 0.5000), Np at (0.0000, 0.5000, 0.5000), Te at (0.2260, 0.0000, 0.6986) and Te at (0.2369, 0.3303, 0.6989).

No. 11
Below is a relaxed Rb3ErNp2Te6 crystal, with properties calculated at the PBE level.

It has space group C2/m (No. 12), with a = 7.9133 Å, b = 13.7076 Å, c = 8.9375 Å, α = 90.00°, β = 107.17° and γ = 90.00°. The inequivalent atoms are Rb at (0.0000, 0.0000, 0.0000), Rb at (0.0000, 0.3322, 0.0000), Er at (0.0000, 0.5000, 0.5000), Np at (0.0000, 0.1666, 0.5000), Te at (0.2306, 0.3359, 0.6995) and Te at (0.2385, 0.0000, 0.6998).

No. 12
Below is a relaxed Rb4Er3NpTe8 crystal, with properties calculated at the PBE level.

It has space group R-3m (No. 166, hexagonal axes), with a = 9.0691 Å, b = 9.0691 Å, c = 25.5904 Å, α = 90.00°, β = 90.00° and γ = 120.00°. The inequivalent atoms are Rb at (0.0000, 0.0000, 0.0000), Rb at (0.0000, 0.5000, 0.0000), Er at (0.0000, 0.5000, 0.5000), Np at (0.0000, 0.0000, 0.5000), Te at (0.0000, 0.0000, 0.2324) and Te at (0.0064, 0.5032, 0.7672).

The records above give, respectively, raw formation energy values of -1.719; -1.609; -1.566; -1.390; -1.471; -1.402; -1.597; -0.992; -1.160; -1.198; -1.036; -1.239 eV/atom.
The records above give, respectively, calculated density values of 5.03; 5.51; 5.50; 6.00; 5.88; 5.75; 5.71; 5.78; 5.61; 5.78; 5.96; 5.74 g cm⁻³.
The records above give, respectively, uncorrected energy values of -273.05; -244.64; -124.27; -141.86; -45.14; -137.42; -251.79; -124.29; -111.23; -116.39; -129.25; -226.35 eV for the cell shown.